VASP calculation (GGA-PBE) on a relaxed NpUBiO2 crystal.

Properties
The raw formation energy comes out at -2.03 eV per atom. The value obtained for the total energy is -48.19 eV per formula unit. Its total magnetization is 1.203 μB per atom.

Cell and atoms, written as POSCAR:
```
NpUBiO2
1.0
3.952 0.000 0.000
0.000 3.952 0.000
-1.976 -1.976 6.276
O U Bi Np
2 1 1 1
Cartesian
0.000 1.976 3.168 O
1.976 0.000 3.168 O
1.976 1.976 4.315 U
0.000 0.000 6.262 Bi
0.000 0.000 1.917 Np
```